Er4SiS4: relaxed, GGA-PBE.

Geometry as extended XYZ:
```
9
Lattice="-5.0594 1.9515 -0.7231 -4.6960 -3.0546 3.9186 -1.5363 5.2190 4.1394" Properties=species:S:1:pos:R:3 pbc="T T T"
S -2.5719 1.8890 2.3979
S -6.1209 0.4779 2.7272
S -5.1708 3.6380 4.6076
S -8.7198 2.2269 4.9369
Er -5.0783 2.8780 1.9095
Er -6.2134 1.2379 5.4253
Er -7.6571 4.7339 4.2670
Er -3.6346 -0.6181 3.0679
Si 0.0000 0.0000 0.0000
```

- Magnetic moment: 0.57 Bohr magnetons per cell
- Raw formation energy: -1633.6 meV per atom



H3Os5Se12: relaxed, GGA-PBE.

Geometry as extended XYZ:
```
80
Lattice="12.9147 0.0000 0.0000 -4.3049 12.1761 0.0000 -4.3049 -6.0881 10.5448" Properties=species:S:1:pos:R:3 pbc="T T T"
Se -0.5762 4.3087 0.7520
Se -2.1019 2.8393 6.4218
Se -2.4531 6.9654 8.2305
Se -1.8518 -0.6011 4.8750
Se 1.8518 4.6096 7.1894
Se 6.4068 3.2488 4.1231
Se 4.6055 5.2107 8.2305
Se 3.0798 5.0438 4.1074
Se 4.0043 -1.4784 3.3555
Se 9.5372 3.0530 2.9581
Se -4.2543 8.9274 4.1231
Se 8.6604 1.0977 0.3974
Se 4.8811 1.7794 9.7928
Se 4.8811 -1.5409 9.3798
Se 1.5763 -1.7794 9.7928
Se -0.3006 0.8773 2.3143
Se 5.8812 6.3265 1.9170
Se 6.1567 6.6892 5.6698
Se 9.1860 5.8496 1.9170
Se 2.4531 1.4784 3.3555
Se -1.2251 -3.0350 7.5867
Se -4.3555 4.9903 10.1474
Se 2.1019 -2.1510 6.0244
Se 2.7286 7.8674 0.7520
Se 8.5592 -2.8393 6.4218
Se 5.5300 2.0088 1.1494
Se 2.7286 4.5471 1.1650
Se -4.8811 0.2385 8.6279
Se 7.6825 -4.0793 9.3955
Se -1.5763 -0.2385 8.6279
Se 6.4068 11.0784 0.3974
Se -2.1019 -4.9903 10.1474
Se -0.5762 7.6290 1.1650
Se -0.9274 7.1323 4.1074
Se 6.7580 -0.8773 2.3143
Se 4.3555 2.1510 6.0244
Se 5.2323 -1.0443 6.4374
Se 2.2030 8.2391 4.5204
Se -5.2323 3.0350 7.5867
Se 8.3092 0.6011 4.8750
Se 1.2251 1.0443 6.4374
Se -4.0043 5.4870 5.6698
Se -0.0506 3.9370 4.5204
Se -1.2251 4.0793 9.3955
Se 1.5763 1.5409 9.3798
Se -3.3775 10.1673 1.1494
Se 5.5300 9.1231 2.9581
Se 0.3006 7.5665 7.1894
H -1.0762 5.3270 6.5905
H 7.5336 8.3711 1.3181
H -5.3811 6.0881 7.9086
H -3.2287 -2.2830 9.2267
H 1.0762 -0.7610 3.9543
H 3.2287 0.0000 7.9086
H -3.2287 2.2830 9.2267
H 3.2287 6.8491 6.5905
H 1.0762 6.0881 2.6362
H 7.5336 3.8050 1.3181
H 5.3811 0.7610 3.9543
H 9.6860 0.0000 2.6362
Os -3.2287 6.8491 3.9543
Os -2.1525 -3.0440 5.2724
Os 1.0762 3.8050 9.2267
Os 3.2287 9.1321 2.6362
Os -4.3049 3.0440 5.2724
Os 4.3049 -3.0440 5.2724
Os -1.0762 3.0440 2.6362
Os 5.3811 -3.8050 9.2267
Os 7.5336 -0.7610 6.5905
Os 0.0000 0.0000 0.0000
Os 1.0762 -3.0440 7.9086
Os 4.3049 6.0881 0.0000
Os -1.0762 9.8931 1.3181
Os -2.1525 6.0881 0.0000
Os 5.3811 3.0440 7.9086
Os 2.1525 3.0440 5.2724
Os 6.4574 0.0000 0.0000
Os 3.2287 2.2830 1.3181
Os 5.3811 5.3270 3.9543
Os -1.0762 0.7610 6.5905
```

- Final energy: -99.58 eV per formula unit
- Magnetic moment: 0.00 Bohr magnetons per cell



Na2TmHfTe4: relaxed, GGA-PBE.

Geometry as extended XYZ:
```
8
Lattice="4.2126 0.0000 0.0000 0.0000 7.3523 0.1448 0.0000 -2.5640 7.6184" Properties=species:S:1:pos:R:3 pbc="T T T"
Te 0.0000 4.8046 1.8058
Te 0.0000 -0.0162 5.9574
Te 2.1063 3.5158 5.9857
Te 2.1063 1.2726 1.7775
Tm 0.0000 0.0000 0.0000
Na 2.1063 -1.2820 3.8092
Na 0.0000 2.3942 3.8816
Hf 2.1063 3.6762 0.0724
```

- Magnetic moment: 0.00 Bohr magnetons per cell
- Raw formation energy: -1036.5 meV per atom



KCaSiPd2: relaxed, GGA-PBE.

Geometry as extended XYZ:
```
5
Lattice="5.0555 0.0000 0.0000 0.0000 5.4538 0.0000 0.0000 0.0000 5.0555" Properties=species:S:1:pos:R:3 pbc="T T T"
K 0.0000 0.0000 0.0000
Pd 0.0000 0.0000 2.5277
Pd 2.5277 0.0000 0.0000
Si 0.0000 2.7269 0.0000
Ca 2.5277 2.7269 2.5277
```

- Magnetic moment: 0.00 Bohr magnetons per cell
- Raw formation energy: 974.1 meV per atom



KBa: relaxed, GGA-PBE.

Geometry as extended XYZ:
```
4
Lattice="-6.1363 0.2489 4.8717 -2.5635 -0.1558 7.4063 0.0798 8.1943 1.1960" Properties=species:S:1:pos:R:3 pbc="T T T"
K -6.4753 6.1895 10.1159
K -4.2997 4.1698 6.7267
Ba -2.1520 1.9591 3.3463
Ba -0.0030 0.1127 0.0222
```

- DFT formation energy: 10.6 kJ per mole of atoms
- Magnetic moment: 0.00 Bohr magnetons per cell



EuTcB2: relaxed, GGA-PBE.

Geometry as extended XYZ:
```
4
Lattice="3.3656 0.0000 0.0000 1.6828 2.9147 0.0000 1.6828 0.9716 5.8699" Properties=species:S:1:pos:R:3 pbc="T T T"
B 5.0484 2.9147 4.8385
B 1.6828 0.9716 1.0314
Eu 3.3656 1.9431 2.9349
Tc 0.0000 0.0000 0.0000
```

- DFT formation energy: 19.3 kJ per mole of atoms
- Magnetic moment: 6.99 Bohr magnetons per cell



Na7Sn12: relaxed, GGA-PBE.

Geometry as extended XYZ:
```
76
Lattice="-7.2032 3.5794 -5.0605 -8.8433 -5.0988 8.9493 0.8628 15.0827 9.6317" Properties=species:S:1:pos:R:3 pbc="T T T"
Sn -9.8463 1.6260 6.7369
Sn -8.0112 6.2340 4.2860
Sn -13.1450 1.9963 3.4623
Sn -9.2321 14.2384 7.7454
Sn -11.2281 8.6714 12.9021
Sn -6.9588 3.4824 3.8803
Sn -3.9556 4.8920 0.6184
Sn -11.4422 4.0079 7.5615
Sn -5.3596 3.3478 -1.5005
Sn -10.3571 3.7397 0.7686
Sn -9.8242 10.2155 15.0210
Sn -8.2066 11.6155 7.1829
Sn -6.9771 1.9479 6.3376
Sn -7.9627 5.7544 14.4541
Sn -9.9299 -0.0677 9.1064
Sn -8.6022 1.6776 2.1439
Sn -4.1001 3.4582 3.1895
Sn -2.6564 4.8367 5.2908
Sn -10.1769 6.3458 2.2438
Sn -10.4595 5.7702 12.8710
Sn -2.0235 9.0928 8.3504
Sn -8.2249 10.0810 9.6402
Sn -5.3375 11.9373 6.7836
Sn -7.7852 8.2999 16.0181
Sn -3.7416 9.5555 5.9590
Sn -5.9516 -0.6750 5.7751
Sn -2.9333 0.8071 2.9476
Sn -7.2210 7.8089 -0.9336
Sn -2.0388 11.5670 10.0582
Sn -7.3985 5.2634 -2.4976
Sn -5.0069 7.2175 11.2767
Sn -12.5273 8.7266 8.2297
Sn -4.8266 9.8237 12.7519
Sn -11.0837 10.1051 10.3310
Sn -8.6910 -2.6740 8.6860
Sn -6.4928 16.2374 4.8344
Sn -5.2539 13.6311 4.4141
Sn -5.5939 3.2674 8.5227
Sn -7.1726 7.3294 9.2345
Sn -8.5966 1.3466 11.2435
Sn -9.5898 10.2959 4.9978
Sn -4.5497 13.1370 9.4035
Sn -10.6340 0.4263 4.1169
Sn -12.2504 12.7563 10.5729
Sn -6.5816 11.8857 11.3766
Sn -6.5872 12.2167 2.2770
Sn -13.1603 4.4706 5.1701
Sn -4.7243 7.7932 0.6495
Na -7.4833 4.6465 10.9808
Na -1.3830 15.0710 9.4114
Na -4.4453 6.3759 7.6212
Na -10.6819 3.4391 10.5149
Na -4.9617 9.8099 9.3077
Na -1.3239 7.7148 4.9462
Na -8.1903 4.9228 7.2454
Na -9.5444 12.3399 12.5072
Na -10.2221 3.7535 4.2128
Na -6.9533 11.7987 14.8714
Na -5.6393 1.2235 1.0133
Na -13.8598 5.8486 8.5743
Na -7.8938 8.5703 12.5780
Na -3.9680 13.3200 12.5830
Na -4.5018 10.1243 3.0056
Na -7.2899 4.9931 0.9425
Na -11.2158 0.2434 0.9375
Na -13.8007 -1.5076 4.1091
Na -11.0854 -1.8438 6.5205
Na -6.9934 8.6405 6.2751
Na -10.3022 6.8765 9.7573
Na -8.2305 1.7647 -1.3509
Na -13.1739 1.2948 6.5748
Na -7.7004 8.9169 2.5397
Na -4.0983 15.4071 7.0000
Na -2.0098 12.2685 6.9457
Na -10.7384 7.1875 5.8993
Na -4.8816 6.6869 3.7632
```

- DFT formation energy: -16.6 kJ per mole of atoms
- Magnetic moment: 0.00 Bohr magnetons per cell



Nd8GaOs3I4: relaxed, GGA-PBE.

Geometry as extended XYZ:
```
16
Lattice="8.4997 0.0000 0.0000 0.0000 9.4377 0.6691 -4.2499 -4.2472 6.0087" Properties=species:S:1:pos:R:3 pbc="T T T"
Nd 2.0185 2.4323 6.1523
Nd 6.2684 2.7582 0.5254
Nd 0.0000 0.6228 3.4455
Nd -2.0185 2.4323 6.1523
Nd 0.0000 4.4505 3.2983
Nd 2.2313 2.7582 0.5254
Nd 4.2498 0.7399 3.3794
Nd 4.2498 4.5677 3.2323
Os 4.2499 4.7188 0.3345
Os -2.1249 2.5952 3.3389
Os 2.1249 2.5952 3.3389
I -2.1249 -2.1236 3.0043
I 2.1249 -2.1236 3.0043
I 0.0000 0.0000 0.0000
I 4.2499 0.0000 0.0000
Ga 0.0000 4.7188 0.3345
```

- Magnetic moment: 0.00 Bohr magnetons per cell
- Raw formation energy: -599.3 meV per atom



Sb2MoBr: relaxed, GGA-PBE.

Geometry as extended XYZ:
```
4
Lattice="-5.6309 -2.0986 3.1845 -4.8246 -4.2384 -2.2386 6.4407 1.4778 1.6078" Properties=species:S:1:pos:R:3 pbc="T T T"
Mo -1.8058 -2.9645 -0.0789
Sb -4.5815 -2.7768 0.4145
Sb -0.6463 -0.3917 0.0585
Br -2.2089 -1.8947 2.6327
```

- Magnetic moment: 1.32 Bohr magnetons per cell
- Raw formation energy: 418.8 meV per atom
- Energy relative to the lowest polymorph listed for this composition: 343 meV/atom



ZnSbMo2: relaxed, GGA-PBE.

Geometry as extended XYZ:
```
4
Lattice="-0.6787 -1.4044 3.8806 -0.6852 -3.6841 -1.4531 3.9063 -0.8716 0.3678" Properties=species:S:1:pos:R:3 pbc="T T T"
Mo 0.0000 0.0000 0.0000
Mo 1.6105 -2.2779 -0.5427
Zn 1.6138 -1.1380 2.1242
Sb -0.6820 -2.5442 1.2137
```

- Magnetic moment: 0.00 Bohr magnetons per cell
- Raw formation energy: 429.9 meV per atom
- Energy relative to the lowest polymorph listed for this composition: 311 meV/atom



LaAsHRh: relaxed, GGA-PBE.

Geometry as extended XYZ:
```
8
Lattice="-0.2620 0.8171 4.0362 1.9290 -3.5488 0.8436 7.0101 3.7388 -0.3017" Properties=species:S:1:pos:R:3 pbc="T T T"
Rh 0.8335 -1.3659 2.4399
Rh 0.0000 0.0000 0.0000
La 4.5590 2.9099 1.8162
La 3.2846 -0.5370 0.3220
As 1.1463 1.0898 1.9631
As 6.6973 1.2831 0.1751
H 4.3385 0.5035 2.2890
H 3.5050 1.8694 -0.1509
```

- Final energy: -23.98 eV per formula unit
- Magnetic moment: 0.00 Bohr magnetons per cell



RbLaMnCl6: relaxed, GGA-PBE.

Geometry as extended XYZ:
```
18
Lattice="-5.3010 -0.0155 4.1142 0.1321 -4.0908 -5.3174 6.4264 -10.5040 8.2406" Properties=species:S:1:pos:R:3 pbc="T T T"
Cl -1.2635 -3.8582 5.3292
Cl -1.0659 -1.8026 2.5924
Cl 3.9890 -8.4361 3.5154
Cl 3.7014 -10.4920 6.3221
Cl 5.2803 -11.6085 3.6677
Cl 1.0299 -9.5658 4.3830
Cl 2.5210 -10.7521 1.7082
Cl -2.7315 -6.1742 3.5219
Cl -4.0228 -3.0018 3.3697
Cl 2.3235 -12.8077 4.4450
Cl 0.2276 -5.0445 2.6544
Cl -2.4439 -4.1183 0.7153
Rb 3.2132 -5.2520 4.1203
Rb 0.0000 0.0000 0.0000
Mn 3.1409 -10.6104 4.0069
Mn -1.8834 -3.9999 3.0305
La 1.3299 -9.2519 7.1508
La -0.0723 -5.3584 -0.1134
```

- Magnetic moment: 1.87 Bohr magnetons per cell
- Raw formation energy: -1608.5 meV per atom



Sm3TeSe2: relaxed, GGA-PBE.

Geometry as extended XYZ:
```
12
Lattice="4.2285 0.0000 0.0000 -2.1142 3.6619 0.0000 0.0000 0.0000 21.2678" Properties=species:S:1:pos:R:3 pbc="T T T"
Sm 0.0000 0.0000 10.6339
Sm 2.1142 1.2206 17.9696
Sm 0.0000 0.0000 0.0000
Sm 0.0000 2.4413 7.3358
Sm 0.0000 2.4413 3.2981
Sm 2.1142 1.2206 13.9320
Te 0.0000 0.0000 15.9508
Te 0.0000 0.0000 5.3169
Se 2.1142 1.2206 1.6691
Se 2.1142 1.2206 8.9648
Se 0.0000 2.4413 19.5987
Se 0.0000 2.4413 12.3029
```

- Magnetic moment: 0.00 Bohr magnetons per cell
- Raw formation energy: -1687.5 meV per atom
- Energy relative to the lowest polymorph listed for this composition: 0 meV/atom



Na3Ga2Sn4: relaxed, GGA-PBE.

Geometry as extended XYZ:
```
9
Lattice="4.6843 0.0000 0.0000 -2.3422 5.8073 0.2865 0.0000 -1.9418 9.1506" Properties=species:S:1:pos:R:3 pbc="T T T"
Sn 0.0000 1.7779 8.9409
Sn 2.3422 2.0876 0.4962
Sn 0.0000 0.4415 4.1430
Sn 2.3422 3.4240 5.2941
Ga 0.0000 2.3077 6.2788
Ga 2.3422 1.5578 3.1583
Na 0.0000 0.0000 0.0000
Na 2.3422 -0.1676 6.4632
Na 0.0000 4.0331 2.9739
```

- DFT formation energy: -14.0 kJ per mole of atoms
- Magnetic moment: 0.00 Bohr magnetons per cell



Ce3Cd2Hg7: relaxed, GGA-PBE.

Geometry as extended XYZ:
```
12
Lattice="-2.4905 1.9730 2.7441 0.2470 -3.9114 3.0364 12.2780 8.0641 5.3453" Properties=species:S:1:pos:R:3 pbc="T T T"
Hg 4.5326 1.8154 6.0200
Hg 9.2048 4.1242 8.6003
Hg 5.5019 4.3103 5.1058
Hg 0.0000 0.0000 0.0000
Hg 10.5316 5.1951 5.8230
Hg 0.8297 2.0015 2.5255
Hg 1.9934 -1.0424 2.5586
Ce 7.9831 1.9228 5.8628
Ce -1.1218 -0.9692 2.8902
Ce 4.5419 2.2299 2.5188
Cd 7.7150 5.4077 6.3254
Cd 2.3195 0.7180 4.8004
```

- DFT formation energy: -16.3 kJ per mole of atoms
- Magnetic moment: 3.59 Bohr magnetons per cell



AlAg2Os: relaxed, GGA-PBE.

Geometry as extended XYZ:
```
4
Lattice="-0.9320 -1.3386 -2.2710 1.3725 -1.6021 1.8350 -7.8457 -1.8109 4.2873" Properties=species:S:1:pos:R:3 pbc="T T T"
Os -5.4871 -2.7877 2.9008
Ag -7.8067 -1.8019 4.2660
Ag -1.8639 -1.9514 0.9209
Al -4.0161 -0.9270 2.1946
```

- DFT formation energy: 18.8 kJ per mole of atoms
- Magnetic moment: 0.00 Bohr magnetons per cell



CeSc2Cu6: relaxed, GGA-PBE.

Geometry as extended XYZ:
```
9
Lattice="3.1921 0.0821 -0.1416 -0.3264 6.4139 -3.6388 0.3294 -0.0483 7.3722" Properties=species:S:1:pos:R:3 pbc="T T T"
Cu 1.5988 4.2534 2.3992
Cu 1.4856 2.2109 -1.3018
Cu 1.4885 6.4227 1.1685
Cu 1.7066 0.0251 2.4233
Cu 1.5963 2.1944 1.1926
Cu 1.3801 4.2851 -2.4785
Ce 0.0000 0.0000 0.0000
Sc 3.0842 4.3415 -0.1108
Sc 0.1109 2.1062 3.7027
```

- DFT formation energy: -16.3 kJ per mole of atoms
- Magnetic moment: 0.35 Bohr magnetons per cell